## 1
A plane-wave DFT calculation with PBE was carried out for crystalline CoTe2Pt at its relaxed geometry.

It has space group P4mm (No. 99), with a = 3.525 Å, b = 3.525 Å, c = 7.250 Å, α = 90.00°, β = 90.00° and γ = 90.00°. Symmetry generates all atoms from Co at (0.000, 0.000, 0.000), Te at (0.000, 0.000, 0.355), Te at (0.500, 0.500, 0.845) and Pt at (0.500, 0.500, 0.204).

The calculation puts the size of the total moment at 0.0000 μB/atom.

## 2
A plane-wave DFT calculation with PBE was carried out for crystalline CoTe2Pt at its relaxed geometry.

It has space group C2/m (No. 12), with a = 6.667 Å, b = 6.676 Å, c = 3.409 Å, α = 90.00°, β = 90.11° and γ = 90.00°. Symmetry generates all atoms from Co at (0.000, 0.000, 0.000), Te at (0.250, 0.250, 0.500) and Pt at (0.000, 0.500, 0.000).

The calculation puts the size of the total moment at 0.0872 μB/atom.

Name the least stable of them. 2.

## 1
A plane-wave DFT calculation with PBE was carried out for crystalline CoTe2Pt at its relaxed geometry.

It has space group I-4m2 (No. 119), with a = 3.965 Å, b = 3.965 Å, c = 10.014 Å, α = 90.00°, β = 90.00° and γ = 90.00°. Symmetry generates all atoms from Co at (0.000, 0.000, 0.000), Te at (0.000, 0.000, 0.500), Te at (0.000, 0.500, 0.250) and Pt at (0.000, 0.500, 0.750).

The calculation puts the size of the total moment at 0.3152 μB/atom.

## 2
A plane-wave DFT calculation with PBE was carried out for crystalline CoTe2Pt at its relaxed geometry.

It has space group F-43m (No. 216), with a = 6.861 Å, b = 6.861 Å, c = 6.861 Å, α = 90.00°, β = 90.00° and γ = 90.00°. Symmetry generates all atoms from Co at (0.000, 0.000, 0.000), Te at (0.000, 0.000, 0.500), Te at (0.250, 0.250, 0.750) and Pt at (0.250, 0.250, 0.250).

The calculation puts the size of the total moment at 0.4021 μB/atom.

## 3
A plane-wave DFT calculation with PBE was carried out for crystalline CoTe2Pt at its relaxed geometry.

It has space group Fm-3m (No. 225), with a = 6.713 Å, b = 6.713 Å, c = 6.713 Å, α = 90.00°, β = 90.00° and γ = 90.00°. Symmetry generates all atoms from Co at (0.000, 0.000, 0.000), Te at (0.250, 0.250, 0.250) and Pt at (0.000, 0.000, 0.500).

The calculation puts the size of the total moment at 0.0000 μB/atom.

## 4
A plane-wave DFT calculation with PBE was carried out for crystalline CoTe2Pt at its relaxed geometry.

It has space group C2/m (No. 12), with a = 6.522 Å, b = 3.794 Å, c = 6.774 Å, α = 90.00°, β = 108.98° and γ = 90.00°. Symmetry generates all atoms from Co at (0.000, 0.000, 0.000), Te at (0.242, 0.500, 0.226) and Pt at (0.000, 0.500, 0.500).

The calculation puts the size of the total moment at 0.0005 μB/atom.

Name the least stable of them. 2.

## 1
A plane-wave DFT calculation with PBE was carried out for crystalline TmThCoPt at its relaxed geometry.

It has space group Amm2 (No. 38), with a = 4.035 Å, b = 3.777 Å, c = 11.203 Å, α = 90.00°, β = 90.00° and γ = 90.00°. Symmetry generates all atoms from Tm at (0.000, 0.000, 0.000), Th at (0.500, 0.000, 0.280), Co at (0.000, 0.000, 0.742) and Pt at (0.500, 0.000, 0.561).

The calculation puts the size of the total moment at 0.0000 μB/atom.

## 2
A plane-wave DFT calculation with PBE was carried out for crystalline TmThCoPt at its relaxed geometry.

It has space group F-43m (No. 216), with a = 6.971 Å, b = 6.971 Å, c = 6.971 Å, α = 90.00°, β = 90.00° and γ = 90.00°. Symmetry generates all atoms from Tm at (0.000, 0.000, 0.000), Th at (0.000, 0.000, 0.500), Co at (0.250, 0.250, 0.750) and Pt at (0.250, 0.250, 0.250).

The calculation puts the size of the total moment at 0.0745 μB/atom.

Name the least stable of them. 2.

## 1
A plane-wave DFT calculation with PBE was carried out for crystalline Ti2CoPt at its relaxed geometry.

It has space group Pmma (No. 51), with a = 4.470 Å, b = 2.810 Å, c = 9.219 Å, α = 90.00°, β = 90.00° and γ = 90.00°. Symmetry generates all atoms from Ti at (0.250, 0.000, 0.123), Ti at (0.250, 0.000, 0.662), Co at (0.250, 0.500, 0.904) and Pt at (0.250, 0.500, 0.400).

The calculation puts the size of the total moment at 0.0000 μB/atom.

## 2
A plane-wave DFT calculation with PBE was carried out for crystalline Ti2CoPt at its relaxed geometry.

It has space group P4/mmm (No. 123), with a = 3.963 Å, b = 3.963 Å, c = 3.670 Å, α = 90.00°, β = 90.00° and γ = 90.00°. Symmetry generates all atoms from Ti at (0.000, 0.500, 0.000), Co at (0.000, 0.000, 0.500) and Pt at (0.500, 0.500, 0.500).

The calculation puts the size of the total moment at 0.0012 μB/atom.

## 3
A plane-wave DFT calculation with PBE was carried out for crystalline Ti2CoPt at its relaxed geometry.

It has space group Fm-3m (No. 225), with a = 6.167 Å, b = 6.167 Å, c = 6.167 Å, α = 90.00°, β = 90.00° and γ = 90.00°. Symmetry generates all atoms from Ti at (0.250, 0.250, 0.250), Co at (0.000, 0.000, 0.000) and Pt at (0.000, 0.000, 0.500).

The calculation puts the size of the total moment at 0.0002 μB/atom.

## 4
A plane-wave DFT calculation with PBE was carried out for crystalline Ti2CoPt at its relaxed geometry.

It has space group P2_1/m (No. 11), with a = 3.036 Å, b = 4.253 Å, c = 9.413 Å, α = 90.00°, β = 99.37° and γ = 90.00°. Symmetry generates all atoms from Ti at (0.052, 0.250, 0.104), Ti at (0.192, 0.750, 0.383), Co at (0.439, 0.250, 0.878) and Pt at (0.333, 0.750, 0.668).

The calculation puts the size of the total moment at 0.2160 μB/atom.

Name the least stable of them. 3.

## 1
A plane-wave DFT calculation with PBE was carried out for crystalline Ti2Co2Pt at its relaxed geometry.

It has space group P4/mbm (No. 127), with a = 6.773 Å, b = 6.773 Å, c = 2.943 Å, α = 90.00°, β = 90.00° and γ = 90.00°. Symmetry generates all atoms from Ti at (0.172, 0.328, 0.000), Co at (0.127, 0.627, 0.500) and Pt at (0.000, 0.000, 0.500).

The calculation puts the size of the total moment at 0.0000 μB/atom.

## 2
A plane-wave DFT calculation with PBE was carried out for crystalline Ti2Co2Pt at its relaxed geometry.

It has space group P-3m1 (No. 164), with a = 4.1950 Å, b = 4.1950 Å, c = 4.8799 Å, α = 90.00°, β = 90.00° and γ = 120.00°. Symmetry generates all atoms from Ti at (0.3333, 0.6667, 0.2158), Co at (0.3333, 0.6667, 0.6904) and Pt at (0.0000, 0.0000, 0.0000).

The calculation puts the size of the total moment at 0.0001 μB/atom.

Name the least stable of them. 2.

## 1
A plane-wave DFT calculation with PBE was carried out for crystalline TiCo2Pt2 at its relaxed geometry.

It has space group P4/mbm (No. 127), with a = 6.192 Å, b = 6.192 Å, c = 3.649 Å, α = 90.00°, β = 90.00° and γ = 90.00°. Symmetry generates all atoms from Ti at (0.000, 0.000, 0.000), Co at (0.133, 0.367, 0.000) and Pt at (0.165, 0.665, 0.500).

The calculation puts the size of the total moment at 0.4535 μB/atom.

## 2
A plane-wave DFT calculation with PBE was carried out for crystalline TiCo2Pt2 at its relaxed geometry.

It has space group I4/mmm (No. 139), with a = 3.332 Å, b = 3.332 Å, c = 13.381 Å, α = 90.00°, β = 90.00° and γ = 90.00°. Symmetry generates all atoms from Ti at (0.000, 0.000, 0.000), Co at (0.000, 0.500, 0.250) and Pt at (0.000, 0.000, 0.400).

The calculation puts the size of the total moment at 0.6898 μB/atom.

Name the least stable of them. 2.